A relaxed structure of Li2TmF5, computed with PBE.

Lattice parameters (Å, degrees): 6.545 6.579 9.392 90.00 90.00 90.00
Sites, in units of the cell vectors:
F 0.673 0.038 0.428
F 0.173 0.538 0.072
F 0.912 0.750 0.253
F 0.914 0.250 0.182
F 0.173 0.962 0.072
F 0.327 0.962 0.572
F 0.911 0.750 0.562
F 0.086 0.750 0.818
F 0.589 0.750 0.062
F 0.588 0.750 0.753
F 0.327 0.538 0.572
F 0.414 0.750 0.318
F 0.411 0.250 0.938
F 0.412 0.250 0.247
F 0.089 0.250 0.438
F 0.088 0.250 0.747
F 0.827 0.038 0.928
F 0.827 0.462 0.928
F 0.586 0.250 0.682
F 0.673 0.462 0.428
Tm 0.416 0.250 0.478
Tm 0.584 0.750 0.522
Tm 0.084 0.250 0.978
Tm 0.916 0.750 0.022
Li 0.066 0.959 0.671
Li 0.434 0.541 0.171
Li 0.566 0.459 0.829
Li 0.066 0.541 0.671
Li 0.934 0.459 0.329
Li 0.566 0.041 0.829
Li 0.934 0.041 0.329
Li 0.434 0.959 0.171

Computed properties:
Calculated density in Mg/m³: 4.6
ΔE_f (raw) in eV per atom: -3.51
Space group: Pnma, No. 62